Below is a geometry-optimized ErNpCoRu structure, with properties calculated at the GGA-PBE level.

Cell: 4.7228 4.7228 4.7228 Å, 60.00 60.00 60.00°
Element x y z (fractional)
Np 0.2500 0.2500 0.2500
Ru 0.0000 0.0000 0.0000
Co 0.5000 0.5000 0.5000
Er 0.7500 0.7500 0.7500

Computed properties:
The value obtained for the formation energy is -0.09 eV/atom. As for the space group: F-43m (216).